# 1
Computed, not measured: a geometry-optimized Li2Pr3Pd7 structure at the GGA-PBE level of DFT.

a = 5.542 Å, b = 5.542 Å, c = 9.095 Å
α = 72.26°, β = 72.26°, γ = 60.00°
Fractional positions:
Li 0.665 0.665 0.004
Li 0.335 0.335 0.996
Pr 0.000 0.000 0.000
Pr 0.861 0.861 0.418
Pr 0.139 0.139 0.582
Pd 0.500 0.500 0.500
Pd 0.924 0.419 0.238
Pd 0.419 0.924 0.238
Pd 0.419 0.419 0.238
Pd 0.076 0.581 0.762
Pd 0.581 0.581 0.762
Pd 0.581 0.076 0.762

crystal system	trigonal
size of the total moment	0.0	μB/f.u.
calculated total energy	-5.206	eV/atom
calculated formation energy	-663	meV/atom

=====

# 2
Computed, not measured: a geometry-optimized K2AcTl6 structure at the GGA-PBE level of DFT.

a = 3.828 Å, b = 9.519 Å, c = 9.519 Å
α = 60.00°, β = 90.00°, γ = 90.00°
Fractional positions:
K 0.000 0.333 0.333
K 0.000 0.667 0.667
Ac 0.000 0.000 0.000
Tl 0.499 0.669 0.000
Tl 0.501 0.000 0.331
Tl 0.501 0.331 0.000
Tl 0.500 0.669 0.331
Tl 0.499 0.000 0.669
Tl 0.500 0.331 0.669

crystal system	hexagonal
size of the total moment	0.0	μB/f.u.
calculated total energy	-2.414	eV/atom
calculated formation energy	-136	meV/atom

=====

# 3
Computed, not measured: a geometry-optimized LiHo3H3 structure at the GGA-PBE level of DFT.

a = 6.276 Å, b = 6.276 Å, c = 6.276 Å
α = 90.00°, β = 90.00°, γ = 90.00°
Last column: magnetic moment on the atom in μB.
Fractional positions:
H 0.250 0.000 0.500  0.00
H 0.000 0.500 0.250  0.00
H 0.500 0.750 0.000  0.00
H 0.750 0.000 0.500  0.00
H 0.000 0.500 0.750  0.00
H 0.500 0.250 0.000  0.00
Ho 0.000 0.250 0.500  0.50
Ho 0.000 0.750 0.500  0.50
Ho 0.500 0.000 0.750  0.50
Ho 0.750 0.500 0.000  0.50
Ho 0.500 0.000 0.250  0.50
Ho 0.250 0.500 0.000  0.50
Li 0.500 0.500 0.500  0.06
Li 0.000 0.000 0.000  0.06

crystal system	cubic
size of the total moment	2.2	μB/f.u.
calculated total energy	-3.892	eV/atom

=====

# 4
Computed, not measured: a geometry-optimized Pr2SiPd3 structure at the GGA-PBE level of DFT.

a = 5.881 Å, b = 5.881 Å, c = 8.879 Å
α = 111.65°, β = 111.65°, γ = 83.44°
Fractional positions:
Pr 0.750 0.250 0.500
Pr 0.754 0.246 0.000
Pr 0.250 0.750 0.500
Pr 0.246 0.754 0.000
Si 0.666 0.666 0.333
Si 0.334 0.334 0.667
Pd 0.822 0.822 0.175
Pd 0.647 0.647 0.825
Pd 0.178 0.178 0.825
Pd 0.353 0.353 0.175
Pd 0.178 0.178 0.356
Pd 0.822 0.822 0.644

crystal system	orthorhombic
size of the total moment	0.0	μB/f.u.
calculated total energy	-5.891	eV/atom
ΔE_f (raw)	-798	meV/atom

=====

# 5
Computed, not measured: a geometry-optimized TcHg2Sb structure at the GGA-PBE level of DFT.

a = 9.775 Å, b = 9.775 Å, c = 9.775 Å
α = 19.08°, β = 19.08°, γ = 19.08°
Last column: magnetic moment on the atom in μB.
Fractional positions:
Hg 0.008 0.008 0.008  0.01
Hg 0.492 0.492 0.492  0.01
Sb 0.250 0.250 0.250  0.00
Tc 0.750 0.750 0.750  1.12

crystal system	trigonal
size of the total moment	1.2	μB/f.u.
calculated total energy	-3.147	eV/atom
ΔE_f (raw)	625	meV/atom